{"formula": "InTeRh", "functional": "GGA-PBE", "state": "optimized geometry", "lattice_angstrom": [[-1.651, 1.651, 6.241], [1.651, -1.651, 6.241], [1.651, 1.651, -6.241]], "species": ["Te", "Rh", "In"], "fractional_positions": [[0.292, 0.292, 0.000], [0.681, 0.681, 0.000], [0.027, 0.027, 0.000]], "formation_energy_uncorrected_ev_per_atom": -0.0983, "spacegroup": "I4mm"}

---

{"formula": "In2TeRh2", "functional": "GGA-PBE", "state": "optimized geometry", "lattice_angstrom": [[7.790, 0.000, 0.000], [0.000, 7.790, 0.000], [0.000, 0.000, 3.191]], "species": ["Te", "In", "In", "Rh", "Rh", "In", "Rh", "Te", "In", "Rh"], "fractional_positions": [[0.500, 0.500, 0.000], [0.357, 0.143, 0.500], [0.643, 0.857, 0.500], [0.154, 0.346, 0.000], [0.846, 0.654, 0.000], [0.857, 0.357, 0.500], [0.654, 0.154, 0.000], [0.000, 0.000, 0.000], [0.143, 0.643, 0.500], [0.346, 0.846, 0.000]], "formation_energy_uncorrected_ev_per_atom": -0.2397, "spacegroup": "P4/mbm"}

---

Please write out number 2 again, unchanged.
{"formula": "In2TeRh2", "functional": "GGA-PBE", "state": "optimized geometry", "lattice_angstrom": [[7.790, 0.000, 0.000], [0.000, 7.790, 0.000], [0.000, 0.000, 3.191]], "species": ["Te", "In", "In", "Rh", "Rh", "In", "Rh", "Te", "In", "Rh"], "fractional_positions": [[0.500, 0.500, 0.000], [0.357, 0.143, 0.500], [0.643, 0.857, 0.500], [0.154, 0.346, 0.000], [0.846, 0.654, 0.000], [0.857, 0.357, 0.500], [0.654, 0.154, 0.000], [0.000, 0.000, 0.000], [0.143, 0.643, 0.500], [0.346, 0.846, 0.000]], "formation_energy_uncorrected_ev_per_atom": -0.2397, "spacegroup": "P4/mbm"}